Below is crystalline Cr3Ni at its relaxed geometry, with properties calculated at the GGA-PBE level.

a = 7.5840 Å, b = 7.5840 Å, c = 7.5840 Å
α = 152.74°, β = 152.74°, γ = 38.94°
Atoms (fractional coordinates):
Cr (0.1208, 0.1208, 0.0000)
Cr (0.7500, 0.2500, 0.5000)
Cr (0.8792, 0.8792, 0.0000)
Cr (0.5000, 0.0000, 0.5000)
Cr (0.2500, 0.7500, 0.5000)
Cr (0.0000, 0.5000, 0.5000)
Ni (0.6258, 0.6258, 0.0000)
Ni (0.3742, 0.3742, 0.0000)

## Properties
As for the energy: -8.5215 eV/atom. The calculation puts the formation energy at 141 meV/atom. The calculation puts the density of states at the Fermi level at 9.29 states/eV/cell.